# 1
Here is a relaxed MnOs crystal from Alexandria via LeMat-Bulk. Energies are from GGA-PBEsol.

Its energy of formation is 0.2242 eV/atom. For the density of states at the Fermi level, the calculation gives 3.72 states/eV/cell.

The space group is P4/nmm (No. 129, origin choice 2) and the conventional cell measures 2.852, 2.852 and 6.030 Å, with angles of 90.00, 90.00 and 90.00 degrees. The inequivalent atoms are Mn at (0.250, 0.250, 0.078) and Os at (0.250, 0.250, 0.646).

=====

# 2
Here is a relaxed Mn3Os crystal from Alexandria via LeMat-Bulk. Energies are from GGA-PBEsol.

Its energy of formation is 0.0871 eV/atom. For the density of states at the Fermi level, the calculation gives 5.53 states/eV/cell.

The space group is Pm-3m (No. 221) and the conventional cell measures 3.571, 3.571 and 3.571 Å, with angles of 90.00, 90.00 and 90.00 degrees. The inequivalent atoms are Mn at (0.000, 0.000, 0.500) and Os at (0.500, 0.500, 0.500).

=====

# 3
Here is a relaxed Mn2Os crystal from Alexandria via LeMat-Bulk. Energies are from GGA-PBEsol.

Its energy of formation is -0.0004 eV/atom. For the density of states at the Fermi level, the calculation gives 2.44 states/eV/cell.

The space group is P6/mmm (No. 191) and the conventional cell measures 3.9423, 3.9423 and 2.5894 Å, with angles of 90.00, 90.00 and 120.00 degrees. The inequivalent atoms are Mn at (0.3333, 0.6667, 0.0000) and Os at (0.0000, 0.0000, 0.5000).

=====

# 4
Here is a relaxed Mn2Os crystal from Alexandria via LeMat-Bulk. Energies are from GGA-PBEsol.

Its energy of formation is 0.0771 eV/atom. For the density of states at the Fermi level, the calculation gives 14.11 states/eV/cell.

The space group is Cmcm (No. 63) and the conventional cell measures 3.600, 10.883 and 3.631 Å, with angles of 90.00, 90.00 and 90.00 degrees. The inequivalent atoms are Mn at (0.000, 0.088, 0.250), Mn at (0.000, 0.249, 0.750) and Os at (0.000, 0.409, 0.250).

=====

# 5
Here is a relaxed MnOs5 crystal from Alexandria via LeMat-Bulk. Energies are from GGA-PBEsol.

Its energy of formation is -0.0106 eV/atom. For the density of states at the Fermi level, the calculation gives 3.72 states/eV/cell.

The space group is P-62m (No. 189) and the conventional cell measures 4.6776, 4.6776 and 4.2482 Å, with angles of 90.00, 90.00 and 120.00 degrees. The inequivalent atoms are Mn at (0.0000, 0.0000, 0.0000), Os at (0.0000, 0.6737, 0.5000) and Os at (0.3333, 0.6667, 0.0000).

=====

# 6
Here is a relaxed MnOs2 crystal from Alexandria via LeMat-Bulk. Energies are from GGA-PBEsol.

Its energy of formation is 0.0133 eV/atom. For the density of states at the Fermi level, the calculation gives 9.97 states/eV/cell.

The space group is Cm (No. 8) and the conventional cell measures 9.558, 2.678 and 6.217 Å, with angles of 90.00, 103.19 and 90.00 degrees. The inequivalent atoms are Mn at (0.000, 0.000, 0.000), Mn at (0.166, 0.500, 0.329), Os at (0.057, 0.000, 0.605), Os at (0.218, 0.500, 0.950), Os at (0.334, 0.000, 0.666) and Os at (0.390, 0.000, 0.270).

=====

# 7
Here is a relaxed Mn7Os crystal from Alexandria via LeMat-Bulk. Energies are from GGA-PBEsol.

Its energy of formation is 0.0963 eV/atom. For the density of states at the Fermi level, the calculation gives 47.10 states/eV/cell.

The space group is Fm-3m (No. 225) and the conventional cell measures 7.069, 7.069 and 7.069 Å, with angles of 90.00, 90.00 and 90.00 degrees. The inequivalent atoms are Mn at (0.000, 0.000, 0.000), Mn at (0.000, 0.250, 0.250) and Os at (0.000, 0.000, 0.500).

=====

# 8
Here is a relaxed Mn3Os crystal from Alexandria via LeMat-Bulk. Energies are from GGA-PBEsol.

Its energy of formation is 0.0439 eV/atom. For the density of states at the Fermi level, the calculation gives 16.65 states/eV/cell.

The space group is Pnma (No. 62) and the conventional cell measures 4.425, 8.086 and 5.077 Å, with angles of 90.00, 90.00 and 90.00 degrees. The inequivalent atoms are Mn at (0.082, 0.250, 0.128), Mn at (0.241, 0.505, 0.872) and Os at (0.078, 0.250, 0.617).

=====

# 9
Here is a relaxed Mn3Os crystal from Alexandria via LeMat-Bulk. Energies are from GGA-PBEsol.

Its energy of formation is 0.0348 eV/atom. For the density of states at the Fermi level, the calculation gives 8.93 states/eV/cell.

The space group is Imm2 (No. 44) and the conventional cell measures 2.578, 8.078 and 4.367 Å, with angles of 90.00, 90.00 and 90.00 degrees. The inequivalent atoms are Mn at (0.000, 0.000, 0.000), Mn at (0.000, 0.256, 0.656) and Os at (0.000, 0.500, 0.002).

=====

# 10
Here is a relaxed MnOs crystal from Alexandria via LeMat-Bulk. Energies are from GGA-PBEsol.

Its energy of formation is 0.0041 eV/atom. For the density of states at the Fermi level, the calculation gives 7.79 states/eV/cell.

The space group is C2/m (No. 12) and the conventional cell measures 9.356, 2.643 and 4.470 Å, with angles of 90.00, 117.30 and 90.00 degrees. The inequivalent atoms are Mn at (0.130, 0.000, 0.301) and Os at (0.121, 0.500, 0.794).

=====

# 11
Here is a relaxed MnOs crystal from Alexandria via LeMat-Bulk. Energies are from GGA-PBEsol.

Its energy of formation is -0.0234 eV/atom. For the density of states at the Fermi level, the calculation gives 7.68 states/eV/cell.

The space group is Pnma (No. 62) and the conventional cell measures 4.540, 4.140 and 5.205 Å, with angles of 90.00, 90.00 and 90.00 degrees. The inequivalent atoms are Mn at (0.081, 0.250, 0.124) and Os at (0.089, 0.250, 0.626).

=====

# 12
Here is a relaxed MnOs5 crystal from Alexandria via LeMat-Bulk. Energies are from GGA-PBEsol.

Its energy of formation is 0.0029 eV/atom. For the density of states at the Fermi level, the calculation gives 8.46 states/eV/cell.

The space group is Cm (No. 8) and the conventional cell measures 9.708, 2.708 and 6.310 Å, with angles of 90.00, 103.56 and 90.00 degrees. The inequivalent atoms are Mn at (0.000, 0.000, 0.000), Os at (0.056, 0.000, 0.615), Os at (0.166, 0.500, 0.330), Os at (0.221, 0.500, 0.946), Os at (0.336, 0.000, 0.672) and Os at (0.391, 0.000, 0.271).

=====

# 13
Here is a relaxed Mn3Os crystal from Alexandria via LeMat-Bulk. Energies are from GGA-PBEsol.

Its energy of formation is 0.1031 eV/atom. For the density of states at the Fermi level, the calculation gives 9.24 states/eV/cell.

The space group is C2/m (No. 12) and the conventional cell measures 8.351, 2.561 and 4.379 Å, with angles of 90.00, 100.38 and 90.00 degrees. The inequivalent atoms are Mn at (0.000, 0.000, 0.000), Mn at (0.246, 0.500, 0.235) and Os at (0.000, 0.500, 0.500).

=====

# 14
Here is a relaxed Mn3Os crystal from Alexandria via LeMat-Bulk. Energies are from GGA-PBEsol.

Its energy of formation is 0.1133 eV/atom. For the density of states at the Fermi level, the calculation gives 4.87 states/eV/cell.

The space group is P4/mmm (No. 123) and the conventional cell measures 2.581, 2.581 and 6.966 Å, with angles of 90.00, 90.00 and 90.00 degrees. The inequivalent atoms are Mn at (0.000, 0.000, 0.000), Mn at (0.500, 0.500, 0.237) and Os at (0.000, 0.000, 0.500).

=====

# 15
Here is a relaxed MnOs crystal from Alexandria via LeMat-Bulk. Energies are from GGA-PBEsol.

Its energy of formation is 1.3441 eV/atom. For the density of states at the Fermi level, the calculation gives 4.99 states/eV/cell.

The space group is P6_3/mmc (No. 194) and the conventional cell measures 4.0980, 4.0980 and 4.5328 Å, with angles of 90.00, 90.00 and 120.00 degrees. The inequivalent atoms are Mn at (0.3333, 0.6667, 0.2500) and Os at (0.3333, 0.6667, 0.7500).

=====

# 16
Here is a relaxed Mn2POs crystal from Alexandria via LeMat-Bulk. Energies are from GGA-PBEsol.

Its energy of formation is -0.0989 eV/atom. For the density of states at the Fermi level, the calculation gives 9.56 states/eV/cell.

The space group is F-43m (No. 216) and the conventional cell measures 5.710, 5.710 and 5.710 Å, with angles of 90.00, 90.00 and 90.00 degrees. The inequivalent atoms are Mn at (0.000, 0.000, 0.000), Mn at (0.250, 0.250, 0.250), P at (0.000, 0.000, 0.500) and Os at (0.250, 0.250, 0.750).

=====

# 17
Here is a relaxed MnP2Os crystal from Alexandria via LeMat-Bulk. Energies are from GGA-PBEsol.

Its energy of formation is -0.2376 eV/atom. For the density of states at the Fermi level, the calculation gives 2.56 states/eV/cell. Its energy above the lowest structure with this stoichiometry is 0 meV/atom.

The space group is Pmm2 (No. 25) and the conventional cell measures 2.782, 3.506 and 4.953 Å, with angles of 90.00, 90.00 and 90.00 degrees. The inequivalent atoms are Mn at (0.000, 0.000, 0.000), P at (0.000, 0.000, 0.541), P at (0.500, 0.500, 0.870) and Os at (0.500, 0.500, 0.370).

=====

# 18
Here is a relaxed MnP2Os crystal from Alexandria via LeMat-Bulk. Energies are from GGA-PBEsol.

Its energy of formation is 0.0701 eV/atom. For the density of states at the Fermi level, the calculation gives 2.54 states/eV/cell. Its energy above the lowest structure with this stoichiometry is 308 meV/atom.

The space group is Pmmm (No. 47) and the conventional cell measures 3.009, 3.774 and 4.829 Å, with angles of 90.00, 90.00 and 90.00 degrees. The inequivalent atoms are Mn at (0.000, 0.000, 0.000), P at (0.500, 0.500, 0.222) and Os at (0.500, 0.000, 0.500).

=====

# 19
Here is a relaxed Mn2POs crystal from Alexandria via LeMat-Bulk. Energies are from GGA-PBEsol.

Its energy of formation is 0.1459 eV/atom. For the density of states at the Fermi level, the calculation gives 4.35 states/eV/cell.

The space group is P4/mmm (No. 123) and the conventional cell measures 4.112, 4.112 and 2.757 Å, with angles of 90.00, 90.00 and 90.00 degrees. The inequivalent atoms are Mn at (0.000, 0.500, 0.000), P at (0.000, 0.000, 0.500) and Os at (0.500, 0.500, 0.500).

=====

# 20
Here is a relaxed MnPOs2Pb crystal from Alexandria via LeMat-Bulk. Energies are from GGA-PBEsol.

Its energy of formation is 1.2079 eV/atom. For the density of states at the Fermi level, the calculation gives 5.04 states/eV/cell.

The space group is P4/mmm (No. 123) and the conventional cell measures 4.567, 4.567 and 4.147 Å, with angles of 90.00, 90.00 and 90.00 degrees. The inequivalent atoms are Mn at (0.000, 0.000, 0.000), P at (0.000, 0.000, 0.500), Os at (0.000, 0.500, 0.000) and Pb at (0.500, 0.500, 0.500).